{
  "formula": "NaNpTlSe3",
  "functional": "PBE",
  "state": "relaxed",
  "final_energy_ev_per_atom": -5.390,
  "lattice_angstrom": [[0.360, 5.030, -5.724], [-1.370, -1.277, 7.395], [11.215, 1.944, 2.414]],
  "species": ["Na", "Na", "Np", "Np", "Se", "Se", "Se", "Se", "Se", "Se", "Tl", "Tl"],
  "fractional_positions": [[0.100, 0.900, 0.250], [0.900, 0.100, 0.750], [0.500, 0.500, 0.000], [0.500, 0.500, 0.500], [0.126, 0.874, 0.015], [0.466, 0.534, 0.250], [0.126, 0.874, 0.485], [0.874, 0.126, 0.515], [0.534, 0.466, 0.750], [0.874, 0.126, 0.985], [0.813, 0.187, 0.250], [0.187, 0.813, 0.750]]
}

---

{
  "formula": "Tm2Hf",
  "functional": "PBE",
  "state": "relaxed",
  "delta_e_f_kj_per_mol_fu": 36.7,
  "lattice_angstrom": [[2.386, -7.143, 0.000], [2.386, 7.143, 0.000], [0.000, 0.000, 4.720]],
  "species": ["Hf", "Hf", "Tm", "Tm", "Tm", "Tm"],
  "fractional_positions": [[0.076, 0.924, 0.250], [0.924, 0.076, 0.750], [0.749, 0.251, 0.250], [0.422, 0.578, 0.250], [0.578, 0.422, 0.750], [0.251, 0.749, 0.750]]
}

---

{
  "formula": "In2Co",
  "functional": "PBE",
  "state": "relaxed",
  "final_energy_ev_per_atom": -4.168,
  "lattice_angstrom": [[1.902, -9.898, 0.658], [1.873, -7.313, 5.424], [-4.105, -3.169, -1.585]],
  "species": ["Co", "Co", "Co", "Co", "In", "In", "In", "In", "In", "In", "In", "In"],
  "fractional_positions": [[0.379, 0.379, 0.121], [0.871, 0.871, 0.129], [0.121, 0.121, 0.379], [0.129, 0.129, 0.871], [0.091, 0.409, 0.091], [0.159, 0.841, 0.159], [0.409, 0.091, 0.409], [0.589, 0.589, 0.411], [0.411, 0.411, 0.589], [0.839, 0.839, 0.661], [0.661, 0.661, 0.839], [0.841, 0.159, 0.841]]
}

---

{
  "formula": "YLu",
  "functional": "PBE",
  "state": "relaxed",
  "delta_e_f_kj_per_mol_fu": 385.3,
  "e_above_lowest_polymorph_kj_per_mol_atoms": 192.1,
  "lattice_angstrom": [[-3.548, -0.715, 3.189], [-4.529, 1.228, -1.115], [-3.302, -3.426, -0.793]],
  "species": ["Lu", "Y"],
  "fractional_positions": [[0.000, 0.000, 0.000], [0.250, 0.250, 0.250]]
}

---

{
  "formula": "FeCu4Si2Ni",
  "functional": "PBE",
  "state": "relaxed",
  "final_energy_ev_per_atom": -4.935,
  "lattice_angstrom": [[-3.559, -1.528, -0.766], [0.636, -2.826, 2.682], [-2.390, 3.456, 4.207]],
  "species": ["Cu", "Cu", "Cu", "Cu", "Fe", "Ni", "Si", "Si"],
  "fractional_positions": [[0.500, 0.000, 0.254], [0.000, 0.500, 0.254], [0.500, 0.000, 0.746], [0.000, 0.500, 0.746], [0.500, 0.500, 0.000], [0.000, 0.000, 0.500], [0.000, 0.000, 0.000], [0.500, 0.500, 0.500]]
}

---

{
  "formula": "NbZnPt",
  "functional": "PBE",
  "state": "relaxed",
  "delta_e_f_kj_per_mol_fu": -147.0,
  "lattice_angstrom": [[1.454, -3.139, 3.959], [1.674, 3.773, 3.256], [-4.721, -0.696, -2.206]],
  "species": ["Nb", "Nb", "Pt", "Pt", "Zn", "Zn"],
  "fractional_positions": [[0.248, 0.000, 0.248], [0.752, 0.000, 0.752], [0.828, 0.328, 0.500], [0.172, 0.672, 0.500], [0.337, 0.337, 0.000], [0.663, 0.663, 0.000]]
}

---

{
  "formula": "ScCoCu4Ge2",
  "functional": "PBE",
  "state": "relaxed",
  "e_above_lowest_polymorph_kj_per_mol_atoms": 0.4,
  "lattice_angstrom": [[4.258, 0.000, 0.000], [0.000, 4.258, 0.000], [0.000, 0.000, 6.064]],
  "species": ["Co", "Cu", "Cu", "Cu", "Cu", "Ge", "Ge", "Sc"],
  "fractional_positions": [[0.000, 0.000, 0.500], [0.500, 0.000, 0.273], [0.000, 0.500, 0.273], [0.500, 0.000, 0.727], [0.000, 0.500, 0.727], [0.000, 0.000, 0.000], [0.500, 0.500, 0.500], [0.500, 0.500, 0.000]]
}

---

{
  "formula": "UInMo",
  "functional": "PBE",
  "state": "relaxed",
  "e_above_lowest_polymorph_kj_per_mol_atoms": 63.4,
  "lattice_angstrom": [[0.000, 3.354, 3.354], [3.354, 0.000, 3.354], [3.354, 3.354, 0.000]],
  "species": ["In", "Mo", "U"],
  "fractional_positions": [[0.250, 0.250, 0.250], [0.750, 0.750, 0.750], [0.000, 0.000, 0.000]]
}

---

{
  "formula": "NaGdNO",
  "functional": "PBE",
  "state": "relaxed",
  "e_above_lowest_polymorph_kj_per_mol_atoms": 0.0,
  "lattice_angstrom": [[-1.921, -3.328, 0.000], [0.000, 0.000, 4.740], [-6.350, 3.666, 0.000]],
  "species": ["Gd", "Gd", "N", "N", "Na", "Na", "O", "O"],
  "fractional_positions": [[0.000, 0.439, 0.319], [0.000, 0.939, 0.681], [0.000, 0.938, 0.363], [0.000, 0.438, 0.637], [0.500, 0.939, 0.140], [0.500, 0.439, 0.860], [0.500, 0.438, 0.173], [0.500, 0.938, 0.827]]
}

---

{
  "formula": "GdCu3P2",
  "functional": "PBE",
  "state": "relaxed",
  "final_energy_ev_per_atom": -5.007,
  "lattice_angstrom": [[-2.663, 2.968, -0.092], [-0.107, -2.685, 2.947], [4.052, 3.746, 3.559]],
  "species": ["Cu", "Cu", "Cu", "Gd", "P", "P"],
  "fractional_positions": [[0.333, 0.667, 0.339], [0.000, 0.000, 0.500], [0.667, 0.333, 0.661], [0.000, 0.000, 0.000], [0.667, 0.333, 0.260], [0.333, 0.667, 0.740]]
}

---

{
  "formula": "SrCoHgSe3",
  "functional": "PBE",
  "state": "relaxed",
  "e_above_lowest_polymorph_kj_per_mol_atoms": 0.0,
  "lattice_angstrom": [[-6.707, -0.016, 0.913], [5.282, -3.659, -2.129], [1.445, -4.047, 10.541]],
  "species": ["Co", "Co", "Hg", "Hg", "Se", "Se", "Se", "Se", "Se", "Se", "Sr", "Sr"],
  "fractional_positions": [[0.539, 0.461, 0.250], [0.461, 0.539, 0.750], [0.000, 0.000, 0.000], [0.000, 0.000, 0.500], [0.641, 0.359, 0.076], [0.938, 0.062, 0.250], [0.641, 0.359, 0.424], [0.359, 0.641, 0.576], [0.062, 0.938, 0.750], [0.359, 0.641, 0.924], [0.254, 0.746, 0.250], [0.746, 0.254, 0.750]]
}

---

{
  "formula": "NaDyNiS3",
  "functional": "PBE",
  "state": "relaxed",
  "final_energy_ev_per_atom": -5.228,
  "lattice_angstrom": [[-0.646, -1.468, 7.796], [2.824, -2.620, -0.259], [6.198, 6.738, -0.559]],
  "species": ["Dy", "Dy", "Na", "Na", "Ni", "Ni", "S", "S", "S", "S", "S", "S"],
  "fractional_positions": [[0.324, 0.750, 0.353], [0.676, 0.250, 0.647], [0.804, 0.750, 0.286], [0.196, 0.250, 0.714], [0.080, 0.250, 0.091], [0.920, 0.750, 0.909], [0.196, 0.750, 0.036], [0.564, 0.250, 0.342], [0.083, 0.250, 0.343], [0.917, 0.750, 0.657], [0.436, 0.750, 0.658], [0.804, 0.250, 0.964]]
}

---

{
  "formula": "TbYGe2",
  "functional": "PBE",
  "state": "relaxed",
  "final_energy_ev_per_atom": -5.673,
  "lattice_angstrom": [[-4.177, -3.190, 7.956], [3.130, -0.608, -8.986], [4.849, -1.827, 1.813]],
  "species": ["Ge", "Ge", "Ge", "Ge", "Tb", "Tb", "Y", "Y"],
  "fractional_positions": [[0.541, 0.459, 0.250], [0.312, 0.688, 0.250], [0.688, 0.312, 0.750], [0.459, 0.541, 0.750], [0.921, 0.079, 0.250], [0.079, 0.921, 0.750], [0.701, 0.299, 0.250], [0.299, 0.701, 0.750]]
}

---

{
  "formula": "TaAlCd",
  "functional": "PBE",
  "state": "relaxed",
  "e_above_lowest_polymorph_kj_per_mol_atoms": 0.0,
  "lattice_angstrom": [[4.409, 0.179, 0.281], [1.919, 1.651, 3.625], [2.149, -2.683, 2.781]],
  "species": ["Al", "Cd", "Ta"],
  "fractional_positions": [[0.000, 0.000, 0.000], [0.250, 0.250, 0.250], [0.750, 0.750, 0.750]]
}

---

{
  "formula": "Zr4SiC2S",
  "functional": "PBE",
  "state": "relaxed",
  "final_energy_ev_per_atom": -8.811,
  "lattice_angstrom": [[3.378, 0.000, 0.000], [-1.689, 2.925, 0.000], [0.000, 0.000, 12.929]],
  "species": ["C", "C", "S", "Si", "Zr", "Zr", "Zr", "Zr"],
  "fractional_positions": [[0.333, 0.667, 0.240], [0.333, 0.667, 0.760], [0.000, 0.000, 0.000], [0.667, 0.333, 0.500], [0.667, 0.333, 0.142], [0.000, 0.000, 0.338], [0.000, 0.000, 0.662], [0.667, 0.333, 0.858]]
}

---

{
  "formula": "Cd4O5",
  "functional": "PBE",
  "state": "relaxed",
  "final_energy_ev_per_atom": -3.546,
  "lattice_angstrom": [[8.433, 0.000, 0.000], [0.000, 3.992, 0.000], [0.000, 0.000, 3.992]],
  "species": ["Cd", "Cd", "Cd", "Cd", "O", "O", "O", "O", "O"],
  "fractional_positions": [[0.000, 0.000, 0.000], [0.500, 0.000, 0.000], [0.236, 0.500, 0.500], [0.764, 0.500, 0.500], [0.164, 0.500, 0.000], [0.836, 0.500, 0.000], [0.164, 0.000, 0.500], [0.836, 0.000, 0.500], [0.500, 0.500, 0.500]]
}

---

{
  "formula": "BiPW4C2",
  "functional": "PBE",
  "state": "relaxed",
  "final_energy_ev_per_atom": -9.708,
  "lattice_angstrom": [[-1.587, 0.186, -2.845], [-1.504, -1.207, 2.632], [-4.086, 11.728, 3.046]],
  "species": ["Bi", "C", "C", "P", "W", "W", "W", "W"],
  "fractional_positions": [[0.000, 0.000, 0.000], [0.333, 0.667, 0.272], [0.333, 0.667, 0.728], [0.667, 0.333, 0.500], [0.667, 0.333, 0.203], [0.000, 0.000, 0.371], [0.000, 0.000, 0.629], [0.667, 0.333, 0.797]]
}

---

{
  "formula": "Pr3Mg3GaIr2",
  "functional": "PBE",
  "state": "relaxed",
  "final_energy_ev_per_atom": -4.921,
  "lattice_angstrom": [[7.498, 0.000, 0.000], [-3.749, 6.493, 0.000], [0.000, 0.000, 4.243]],
  "species": ["Ga", "Ir", "Ir", "Mg", "Mg", "Mg", "Pr", "Pr", "Pr"],
  "fractional_positions": [[0.000, 0.000, 0.500], [0.667, 0.333, 0.000], [0.333, 0.667, 0.000], [0.248, 0.000, 0.000], [0.000, 0.248, 0.000], [0.752, 0.752, 0.000], [0.581, 0.000, 0.500], [0.419, 0.419, 0.500], [0.000, 0.581, 0.500]]
}

---

{
  "formula": "TaNb2Sb",
  "functional": "PBE",
  "state": "relaxed",
  "final_energy_ev_per_atom": -8.938,
  "lattice_angstrom": [[-0.718, -4.453, 1.443], [-3.929, -2.304, -1.295], [0.261, -3.567, -3.105]],
  "species": ["Nb", "Nb", "Sb", "Ta"],
  "fractional_positions": [[0.000, 0.000, 0.000], [0.750, 0.750, 0.750], [0.500, 0.500, 0.500], [0.250, 0.250, 0.250]]
}

---

{
  "formula": "ZrBePd",
  "functional": "PBE",
  "state": "relaxed",
  "e_above_lowest_polymorph_kj_per_mol_atoms": 88.0,
  "lattice_angstrom": [[-3.366, -1.531, -2.257], [-3.801, 2.075, 0.103], [-1.404, 2.125, -3.504]],
  "species": ["Be", "Pd", "Zr"],
  "fractional_positions": [[0.250, 0.250, 0.250], [0.750, 0.750, 0.750], [0.000, 0.000, 0.000]]
}